Below is crystalline K2CdSb at its relaxed geometry, with properties calculated at the GGA-PBE level.

The structure in POSCAR format:
```
K2CdSb
1.0
-0.072 0.698 3.654
-5.354 0.376 -0.178
-0.543 -7.089 1.344
Cd K Sb
1 2 1
Cartesian
-3.124 -4.831 2.756
-0.521 -6.813 1.292
-2.872 -1.540 2.132
-0.265 -3.464 0.657
```

Properties
- formation energy (no corrections) (eV/f.u.) = -0.4
- symmetry = Pmm2, No. 25
- excess energy over the best structure of this formula in the dataset (eV/f.u.) = 0.701
- magnetization (μB per cell) = 0.00


Below is crystalline Sm5Sb2N at its relaxed geometry, with properties calculated at the GGA-PBE level.

The structure in POSCAR format:
```
Sm5Sb2N
1.0
5.738 0.000 0.000
-2.869 4.984 0.000
0.000 0.000 15.254
Sm Sb N
10 4 2
Cartesian
2.869 4.084 13.232
2.869 4.084 9.649
0.000 4.080 5.604
0.000 4.080 2.023
2.869 2.490 3.813
0.000 2.495 11.440
2.869 0.904 9.650
2.869 0.904 13.231
0.000 0.900 2.022
0.000 0.900 5.605
2.869 2.490 6.777
2.869 2.490 0.850
0.000 2.494 8.477
0.000 2.494 14.404
2.869 2.495 11.440
0.000 2.489 3.813
```

Properties
- formation energy (no corrections) (eV/f.u.) = -6.0
- symmetry = Cmcm, No. 63
- magnetization (μB per cell) = 0.00


Below is crystalline ReOsPt at its relaxed geometry, with properties calculated at the GGA-PBE level.

The structure in POSCAR format:
```
ReOsPt
1.0
-1.366 -1.807 -1.535
-2.047 -1.959 4.129
-3.061 6.713 -2.740
Re Os Pt
2 2 2
Cartesian
-4.375 2.622 0.807
-2.099 0.325 -0.953
-5.933 3.444 -1.212
-0.542 -0.497 1.067
-3.594 2.304 -1.953
-2.881 0.643 1.808
```

Properties
- symmetry = C2/m, No. 12
- excess energy over the best structure of this formula in the dataset (eV/f.u.) = 0.631
- E_form (eV/f.u.) = 0.58
- magnetization (μB per cell) = 0.00


Which value of magnetization does entry 3 give? 0.00 μB per cell


Which value of magnetization does entry 2 give? 0.00 μB per cell


magnetization of number 1 (K2CdSb)? 0.00 μB per cell